Record 1
Density functional theory data (SCAN) for a crystal of RePtRh2 relaxed with PBEsol.

extended XYZ file:
```
4
Lattice="2.694 0.000 0.000 0.000 2.694 0.000 0.000 0.000 7.748" Properties=species:S:1:pos:R:3 pbc="T T T"
Re 0.000 0.000 0.000
Pt 1.347 1.347 5.792
Rh 0.000 0.000 3.788
Rh 1.347 1.347 1.861
```

Results
V = 14.1 A^3/atom
magnetic moment = 0.00 Bohr magnetons per cell
E above lowest polymorph = 7.79 kJ/mol of atoms
calculated formation energy = -0.081 eV per atom
crystal system = tetragonal

=====

Record 2
Density functional theory data (SCAN) for a crystal of RePt2Rh relaxed with PBEsol.

extended XYZ file:
```
4
Lattice="3.848 0.000 0.000 0.000 3.848 0.000 0.000 0.000 3.890" Properties=species:S:1:pos:R:3 pbc="T T T"
Re 0.000 0.000 0.000
Pt 0.000 1.924 1.945
Pt 1.924 0.000 1.945
Rh 1.924 1.924 0.000
```

Results
V = 14.4 A^3/atom
magnetic moment = 0.00 Bohr magnetons per cell
E above lowest polymorph = 21.14 kJ/mol of atoms
calculated formation energy = 0.060 eV per atom
crystal system = tetragonal

=====

Record 3
Density functional theory data (SCAN) for a crystal of RePtRh2 relaxed with PBEsol.

extended XYZ file:
```
4
Lattice="1.353 0.781 8.889 -1.353 0.781 8.889 0.000 -1.563 8.889" Properties=species:S:1:pos:R:3 pbc="T T T"
Re 0.000 0.000 0.000
Pt 0.000 0.000 20.028
Rh 0.000 0.000 6.747
Rh 0.000 0.000 13.418
```

Results
V = 14.1 A^3/atom
magnetic moment = 0.00 Bohr magnetons per cell
E above lowest polymorph = 10.20 kJ/mol of atoms
calculated formation energy = -0.056 eV per atom
crystal system = trigonal

=====

Record 4
Density functional theory data (SCAN) for a crystal of RePt2Rh relaxed with PBEsol.

extended XYZ file:
```
4
Lattice="-1.918 1.918 3.901 1.918 -1.918 3.901 1.918 1.918 -3.901" Properties=species:S:1:pos:R:3 pbc="T T T"
Re 0.000 0.000 0.000
Pt 0.000 0.000 3.901
Pt 0.000 1.918 1.951
Rh 1.918 0.000 1.951
```

Results
V = 14.3 A^3/atom
magnetic moment = 0.00 Bohr magnetons per cell
E above lowest polymorph = 5.47 kJ/mol of atoms
calculated formation energy = -0.102 eV per atom
crystal system = tetragonal

=====

Record 5
Density functional theory data (SCAN) for a crystal of RePt2Rh relaxed with PBEsol.

extended XYZ file:
```
4
Lattice="1.363 0.787 8.998 -1.363 0.787 8.998 0.000 -1.574 8.998" Properties=species:S:1:pos:R:3 pbc="T T T"
Re 0.000 0.000 0.000
Pt 0.000 0.000 6.766
Pt 0.000 0.000 13.404
Rh 0.000 0.000 20.095
```

Results
V = 14.5 A^3/atom
magnetic moment = 0.00 Bohr magnetons per cell
E above lowest polymorph = 4.27 kJ/mol of atoms
calculated formation energy = -0.115 eV per atom
crystal system = trigonal

=====

Record 6
Density functional theory data (SCAN) for a crystal of RePtRh2 relaxed with PBEsol.

extended XYZ file:
```
4
Lattice="4.510 -1.348 0.000 4.510 1.348 0.000 -0.801 0.000 4.613" Properties=species:S:1:pos:R:3 pbc="T T T"
Re 0.000 0.000 0.000
Pt 6.561 0.000 1.170
Rh 1.677 0.000 3.512
Rh 4.132 0.000 2.347
```

Results
V = 14.0 A^3/atom
magnetic moment = 0.00 Bohr magnetons per cell
E above lowest polymorph = 7.71 kJ/mol of atoms
calculated formation energy = -0.081 eV per atom
crystal system = monoclinic

=====

Record 7
Density functional theory data (SCAN) for a crystal of RePtRh2 relaxed with PBEsol.

extended XYZ file:
```
4
Lattice="2.709 0.000 0.000 0.000 2.709 0.000 0.000 0.000 7.678" Properties=species:S:1:pos:R:3 pbc="T T T"
Re 0.000 0.000 0.000
Pt 0.000 0.000 3.839
Rh 1.355 1.355 1.834
Rh 1.355 1.355 5.845
```

Results
V = 14.1 A^3/atom
magnetic moment = 0.00 Bohr magnetons per cell
E above lowest polymorph = 0.00 kJ/mol of atoms
calculated formation energy = -0.161 eV per atom
crystal system = tetragonal

=====

Record 8
Density functional theory data (SCAN) for a crystal of RePt2Rh relaxed with PBEsol.

extended XYZ file:
```
4
Lattice="2.718 0.000 0.000 0.000 2.718 0.000 0.000 0.000 7.834" Properties=species:S:1:pos:R:3 pbc="T T T"
Re 0.000 0.000 0.000
Pt 0.000 0.000 3.826
Pt 1.359 1.359 5.905
Rh 1.359 1.359 1.815
```

Results
V = 14.5 A^3/atom
magnetic moment = 0.00 Bohr magnetons per cell
E above lowest polymorph = 0.00 kJ/mol of atoms
calculated formation energy = -0.159 eV per atom
crystal system = tetragonal

=====

Record 9
Density functional theory data (SCAN) for a crystal of RePtRh relaxed with PBEsol.

extended XYZ file:
```
3
Lattice="-1.357 1.357 5.832 1.357 -1.357 5.832 1.357 1.357 -5.832" Properties=species:S:1:pos:R:3 pbc="T T T"
Re 0.000 0.000 0.000
Pt 0.000 0.000 3.885
Rh 0.000 0.000 7.631
```

Results
V = 14.3 A^3/atom
magnetic moment = 0.00 Bohr magnetons per cell
E above lowest polymorph = 2.18 kJ/mol of atoms
calculated formation energy = -0.183 eV per atom
crystal system = tetragonal

=====

Record 10
Density functional theory data (SCAN) for a crystal of RePtRh relaxed with PBEsol.

extended XYZ file:
```
3
Lattice="-1.354 1.927 4.068 1.354 -1.927 4.068 1.354 1.927 -4.068" Properties=species:S:1:pos:R:3 pbc="T T T"
Re 0.000 0.000 0.000
Pt 0.000 0.000 2.693
Rh 0.000 0.000 5.348
```

Results
V = 14.2 A^3/atom
magnetic moment = 0.00 Bohr magnetons per cell
E above lowest polymorph = 0.00 kJ/mol of atoms
calculated formation energy = -0.205 eV per atom
crystal system = orthorhombic

=====

Record 11
Density functional theory data (SCAN) for a crystal of RePtRh2 relaxed with PBEsol.

extended XYZ file:
```
4
Lattice="2.693 0.000 0.000 0.000 3.863 0.000 0.000 0.000 5.396" Properties=species:S:1:pos:R:3 pbc="T T T"
Re 0.000 0.000 0.000
Pt 1.347 1.932 4.008
Rh 0.000 0.000 2.617
Rh 1.347 1.932 1.256
```

Results
V = 14.0 A^3/atom
magnetic moment = 0.00 Bohr magnetons per cell
E above lowest polymorph = 5.04 kJ/mol of atoms
calculated formation energy = -0.109 eV per atom
crystal system = orthorhombic

=====

Record 12
Density functional theory data (SCAN) for a crystal of RePt2Rh relaxed with PBEsol.

extended XYZ file:
```
4
Lattice="2.718 0.000 0.000 0.000 3.911 0.000 0.000 0.000 5.406" Properties=species:S:1:pos:R:3 pbc="T T T"
Re 0.000 0.000 0.000
Pt 1.359 1.955 1.324
Pt 1.359 1.955 4.083
Rh 0.000 0.000 2.703
```

Results
V = 14.4 A^3/atom
magnetic moment = 0.00 Bohr magnetons per cell
E above lowest polymorph = 5.70 kJ/mol of atoms
calculated formation energy = -0.100 eV per atom
crystal system = orthorhombic

=====

Q: What is the formula in the tenth record?
A: RePtRh

=====

Q: Which formula does entry 3 have?
A: RePtRh2

=====

Copy entry 8 word for word.
Density functional theory data (SCAN) for a crystal of RePt2Rh relaxed with PBEsol.

extended XYZ file:
```
4
Lattice="2.718 0.000 0.000 0.000 2.718 0.000 0.000 0.000 7.834" Properties=species:S:1:pos:R:3 pbc="T T T"
Re 0.000 0.000 0.000
Pt 0.000 0.000 3.826
Pt 1.359 1.359 5.905
Rh 1.359 1.359 1.815
```

Results
V = 14.5 A^3/atom
magnetic moment = 0.00 Bohr magnetons per cell
E above lowest polymorph = 0.00 kJ/mol of atoms
calculated formation energy = -0.159 eV per atom
crystal system = tetragonal